Entry from Alexandria via LeMat-Bulk: a relaxed Cs3GePd crystal (GGA-PBE).

Results
As for the space group: No. 221. As for the density of states at the Fermi level: 0.71 states/eV/atom. As for the total energy: -2.114 eV/atom. The value obtained for the calculated volume is 52.20 Å³ per atom.

a = 6.3907 Å, b = 6.3907 Å, c = 6.3907 Å
α = 90.00°, β = 90.00°, γ = 90.00°
Last column: nearest neighbours and their distance in Å.
Fractional coordinates of all 5 atoms:
1 Cs 0.0000 0.0000 0.5000  2 Pd 3.20
2 Cs 0.0000 0.5000 0.0000  2 Pd 3.20
3 Cs 0.5000 0.0000 0.0000  2 Pd 3.20
4 Ge 0.5000 0.5000 0.5000  12 Cs 4.52
5 Pd 0.0000 0.0000 0.0000  6 Cs 3.20